(1)
PBE-GGA MgSc2Zn2, optimized geometry; energy relative to the elements = -0.280 eV/atom; total energy = -3.64 eV/atom
1.0
7.4561 0.0000 0.0000
0.0000 7.4561 0.0000
0.0000 0.0000 3.5832
Sc Zn Mg
4 4 2
Cartesian
1.2446 4.9727 1.7916 Sc
4.9727 6.2115 1.7916 Sc
6.2115 2.4834 1.7916 Sc
2.4834 1.2446 1.7916 Sc
2.7755 6.5036 0.0000 Zn
6.5036 4.6806 0.0000 Zn
4.6806 0.9526 0.0000 Zn
0.9526 2.7755 0.0000 Zn
0.0000 0.0000 0.0000 Mg
3.7281 3.7281 0.0000 Mg


(2)
PBE-GGA AcSm2RhO8, optimized geometry; formation energy (no corrections) = -2.2251 eV per atom; total energy = -7.27 eV/atom
1.0
-0.1965 4.3458 -1.0393
-1.6903 -0.8418 -5.2981
-7.1914 0.4282 1.3210
Ac Sm Rh O
1 2 1 8
Cartesian
-3.5957 0.2141 0.6605 Ac
-6.1511 1.8096 -1.8136 Sm
-2.9271 2.1227 -3.2028 Sm
0.0000 0.0000 0.0000 Rh
-2.8409 -0.2160 -3.6843 O
-1.6762 1.8531 -5.3592 O
-1.8491 3.7245 -1.8660 O
-6.2373 4.1482 -1.3322 O
-7.4020 2.0791 0.3427 O
-7.2291 0.2078 -3.1505 O
-5.0438 2.0235 -3.8021 O
-4.0344 1.9088 -1.2143 O